Record 1
Computed, not measured: a relaxed structure of LaAsSe2N at the GGA-PBE level of DFT.

Cell and atoms, written as POSCAR:
```
LaAsSe2N
1.0
5.882 0.000 0.000
0.000 5.882 0.000
0.000 0.000 4.209
La As Se N
1 1 2 1
Direct
0.000 0.000 0.000
0.500 0.500 0.500
0.000 0.500 0.000
0.500 0.000 0.000
0.000 0.000 0.500
```

Relative energy among the computed polymorphs = 801 meV per atom
Symmetry = No. 123
ΔE_f (raw) = 497 meV/atom



Record 2
Computed, not measured: a relaxed structure of YOs3Pb at the GGA-PBE level of DFT.

Cell and atoms, written as POSCAR:
```
YOs3Pb
1.0
4.937 0.000 0.000
0.000 4.937 0.000
0.000 0.000 4.937
Y Os Pb
1 3 1
Direct
0.000 0.000 0.000
0.000 0.500 0.500
0.500 0.000 0.500
0.500 0.500 0.000
0.500 0.500 0.500
```

Relative energy among the computed polymorphs = 0 meV per atom
Formation energy = 2.14 eV/atom
Symmetry = No. 221



> What is the relative energy among the computed polymorphs in the second record?

0 meV per atom



> Which formula does entry 2 have?

YOs3Pb



> Which of these has the highest relative energy among the computed polymorphs?

LaAsSe2N